# 1
# Ca8Tl, PBEsol geometry, DFT SCAN
# Calculated volume, A^3/atom: 36.121
# E_form, meV/atom: -104
# Total moment, μB/f.u.: 0.07
data_Ca8Tl
_chemical_formula_sum 'Ca8 Tl1'
_cell_length_a 5.3101
_cell_length_b 8.2626
_cell_length_c 8.2626
_cell_angle_alpha 84.07
_cell_angle_beta 71.26
_cell_angle_gamma 71.26
_symmetry_space_group_name_H-M 'P 1'
_symmetry_Int_Tables_number 1
_symmetry_space_group_name_Hall 'P 1'
loop_
_atom_site_label
_atom_site_fract_x
_atom_site_fract_y
_atom_site_fract_z
_atom_site_occupancy
Ca1 0.3226 0.6774 0.6774 1
Ca2 0.6774 0.3226 0.3226 1
Ca3 0.3436 0.0000 0.3129 1
Ca4 0.3436 0.3129 0.0000 1
Ca5 0.0000 0.3226 0.6774 1
Tl1 0.0000 0.0000 0.0000 1
Ca6 0.6564 0.6871 0.0000 1
Ca7 0.6564 0.0000 0.6871 1
Ca8 0.0000 0.6774 0.3226 1

=====

# 2
# Ca4Tl, PBEsol geometry, DFT SCAN
# Calculated volume, A^3/atom: 39.448
# E_form, meV/atom: -82
# Total moment, μB/f.u.: 0.00
data_Ca4Tl
_chemical_formula_sum 'Ca4 Tl1'
_cell_length_a 6.3514
_cell_length_b 6.3514
_cell_length_c 6.3514
_cell_angle_alpha 109.47
_cell_angle_beta 109.47
_cell_angle_gamma 109.47
_symmetry_space_group_name_H-M 'P 1'
_symmetry_Int_Tables_number 1
_symmetry_space_group_name_Hall 'P 1'
loop_
_atom_site_label
_atom_site_fract_x
_atom_site_fract_y
_atom_site_fract_z
_atom_site_occupancy
Ca1 0.0000 0.5000 0.0000 1
Ca2 0.5000 0.5000 0.5000 1
Ca3 0.0000 0.0000 0.5000 1
Tl1 0.0000 0.0000 0.0000 1
Ca4 0.5000 0.0000 0.0000 1

=====

# 3
# CaTl2, PBEsol geometry, DFT SCAN
# Calculated volume, A^3/atom: 27.777
# E_form, meV/atom: -369
# Total moment, μB/f.u.: 0.00
data_CaTl2
_chemical_formula_sum 'Ca1 Tl2'
_cell_length_a 3.8581
_cell_length_b 3.8581
_cell_length_c 6.2276
_cell_angle_alpha 108.04
_cell_angle_beta 108.04
_cell_angle_gamma 90.00
_symmetry_space_group_name_H-M 'P 1'
_symmetry_Int_Tables_number 1
_symmetry_space_group_name_Hall 'P 1'
loop_
_atom_site_label
_atom_site_fract_x
_atom_site_fract_y
_atom_site_fract_z
_atom_site_occupancy
Tl1 0.1745 0.1745 0.3491 1
Tl2 0.8255 0.8255 0.6509 1
Ca1 0.5000 0.5000 0.0000 1

=====

# 4
# Ca3Tl2, PBEsol geometry, DFT SCAN
# Calculated volume, A^3/atom: 31.947
# E_form, meV/atom: -495
# Total moment, μB/f.u.: 0.00
data_Ca3Tl2
_chemical_formula_sum 'Ca3 Tl2'
_cell_length_a 5.3056
_cell_length_b 5.3056
_cell_length_c 6.5525
_cell_angle_alpha 90.00
_cell_angle_beta 90.00
_cell_angle_gamma 120.00
_symmetry_space_group_name_H-M 'P 1'
_symmetry_Int_Tables_number 1
_symmetry_space_group_name_Hall 'P 1'
loop_
_atom_site_label
_atom_site_fract_x
_atom_site_fract_y
_atom_site_fract_z
_atom_site_occupancy
Ca1 0.3333 0.6667 0.3398 1
Tl1 0.6667 0.3333 0.1593 1
Tl2 0.3333 0.6667 0.8407 1
Ca2 0.6667 0.3333 0.6602 1
Ca3 0.0000 0.0000 0.0000 1

=====

# 5
# CaTl2, PBEsol geometry, DFT SCAN
# Calculated volume, A^3/atom: 27.575
# E_form, meV/atom: -406
# Total moment, μB/f.u.: 0.00
data_CaTl2
_chemical_formula_sum 'Ca2 Tl4'
_cell_length_a 5.0182
_cell_length_b 5.6221
_cell_length_c 6.6767
_cell_angle_alpha 99.87
_cell_angle_beta 90.00
_cell_angle_gamma 116.51
_symmetry_space_group_name_H-M 'P 1'
_symmetry_Int_Tables_number 1
_symmetry_space_group_name_Hall 'P 1'
loop_
_atom_site_label
_atom_site_fract_x
_atom_site_fract_y
_atom_site_fract_z
_atom_site_occupancy
Tl1 0.3611 0.7223 0.7222 1
Ca1 0.7033 0.4067 0.4156 1
Tl2 0.6929 0.3858 0.9084 1
Tl3 0.0293 0.0586 0.5360 1
Tl4 0.3611 0.7222 0.2222 1
Ca2 0.0189 0.0378 0.0290 1

=====

# 6
# CaTlW2, PBEsol geometry, DFT SCAN
# Energy relative to the lowest polymorph listed for this composition, meV/atom: 0
# Calculated volume, A^3/atom: 20.044
# E_form, meV/atom: 615
# Total moment, μB/f.u.: 0.00
data_CaTlW2
_chemical_formula_sum 'Ca1 Tl1 W2'
_cell_length_a 2.9863
_cell_length_b 2.9863
_cell_length_c 9.6497
_cell_angle_alpha 90.00
_cell_angle_beta 90.00
_cell_angle_gamma 111.30
_symmetry_space_group_name_H-M 'P 1'
_symmetry_Int_Tables_number 1
_symmetry_space_group_name_Hall 'P 1'
loop_
_atom_site_label
_atom_site_fract_x
_atom_site_fract_y
_atom_site_fract_z
_atom_site_occupancy
W1 0.0000 0.0000 0.9761 1
W2 0.5000 0.5000 0.7782 1
Tl1 0.5000 0.5000 0.2313 1
Ca1 0.0000 0.0000 0.5144 1